No. 1
{
  "formula": "Tl2TcAg",
  "functional": "meta-GGA SCAN",
  "state": "PBEsol geometry",
  "lattice_angstrom": [[-1.9999, 1.9999, 4.7884], [1.9999, -1.9999, 4.7884], [1.9999, 1.9999, -4.7884]],
  "species": ["Tl", "Tl", "Tc", "Ag"],
  "frac_coords": [[0.0000, 0.0000, 0.0000], [0.7500, 0.2500, 0.5000], [0.2500, 0.7500, 0.5000], [0.5000, 0.5000, 0.0000]],
  "spacegroup": "I-4m2",
  "crystal_system": "tetragonal",
  "polymorph_energy_mev_per_atom": 0,
  "delta_e_f_ev_per_atom": 0.62
}

***

No. 2
{
  "formula": "La6Ti3Se9O5",
  "functional": "meta-GGA SCAN",
  "state": "PBEsol geometry",
  "lattice_angstrom": [[21.8638, -1.9417, 0.0000], [21.8638, 1.9417, 0.0000], [-1.3110, 0.0000, 10.9422]],
  "species": ["La", "La", "La", "La", "La", "La", "La", "La", "La", "La", "La", "La", "Ti", "Ti", "Ti", "Ti", "Ti", "Ti", "Se", "Se", "Se", "Se", "Se", "Se", "Se", "Se", "Se", "Se", "Se", "Se", "Se", "Se", "Se", "Se", "Se", "Se", "O", "O", "O", "O", "O", "O", "O", "O", "O", "O"],
  "frac_coords": [[0.0379, 0.0379, 0.2479], [0.1377, 0.1377, 0.1477], [0.2889, 0.2889, 0.4910], [0.2899, 0.2899, 0.0429], [0.3876, 0.3876, 0.4869], [0.4586, 0.4586, 0.2431], [0.5414, 0.5414, 0.7569], [0.6124, 0.6124, 0.5131], [0.7101, 0.7101, 0.9571], [0.7111, 0.7111, 0.5090], [0.8623, 0.8623, 0.8523], [0.9621, 0.9621, 0.7521], [0.0000, 0.0000, 0.5000], [0.1416, 0.1416, 0.8413], [0.2305, 0.2305, 0.2400], [0.5000, 0.5000, 0.0000], [0.7695, 0.7695, 0.7600], [0.8584, 0.8584, 0.1587], [0.0411, 0.0411, 0.9756], [0.0907, 0.0907, 0.6856], [0.1565, 0.1565, 0.4364], [0.2270, 0.2270, 0.7360], [0.3100, 0.3100, 0.7813], [0.3363, 0.3363, 0.2788], [0.3877, 0.3877, 0.0537], [0.4071, 0.4071, 0.7541], [0.4597, 0.4597, 0.5279], [0.5403, 0.5403, 0.4721], [0.5929, 0.5929, 0.2459], [0.6123, 0.6123, 0.9463], [0.6637, 0.6637, 0.7212], [0.6900, 0.6900, 0.2187], [0.7730, 0.7730, 0.2640], [0.8435, 0.8435, 0.5636], [0.9093, 0.9093, 0.3144], [0.9589, 0.9589, 0.0244], [0.0128, 0.0128, 0.6723], [0.1722, 0.1722, 0.9680], [0.2328, 0.2328, 0.4170], [0.2348, 0.2348, 0.0707], [0.4889, 0.4889, 0.8278], [0.5111, 0.5111, 0.1722], [0.7652, 0.7652, 0.9293], [0.7672, 0.7672, 0.5830], [0.8278, 0.8278, 0.0320], [0.9872, 0.9872, 0.3277]],
  "spacegroup": "C2/m",
  "crystal_system": "monoclinic",
  "formation_energy_uncorrected_ev_per_atom": -2.62
}

***

No. 3
{
  "formula": "GdRh5",
  "functional": "meta-GGA SCAN",
  "state": "PBEsol geometry",
  "lattice_angstrom": [[5.1530, 0.0000, 0.0000], [-2.5765, 4.4626, 0.0000], [0.0000, 0.0000, 4.2639]],
  "species": ["Gd", "Rh", "Rh", "Rh", "Rh", "Rh"],
  "frac_coords": [[0.0000, 0.0000, 0.0000], [0.0000, 0.5000, 0.5000], [0.3333, 0.6667, 0.0000], [0.5000, 0.0000, 0.5000], [0.5000, 0.5000, 0.5000], [0.6667, 0.3333, 0.0000]],
  "spacegroup": "P6/mmm",
  "crystal_system": "hexagonal",
  "delta_e_f_ev_per_atom": -0.31
}

***

No. 4
{
  "formula": "MnZnCo2",
  "functional": "meta-GGA SCAN",
  "state": "PBEsol geometry",
  "lattice_angstrom": [[1.2415, 0.7168, 8.0446], [-1.2415, 0.7168, 8.0446], [0.0000, -1.4336, 8.0446]],
  "species": ["Mn", "Zn", "Co", "Co"],
  "frac_coords": [[0.0000, 0.0000, 0.0000], [0.5000, 0.5000, 0.5000], [0.2543, 0.2543, 0.2543], [0.7457, 0.7457, 0.7457]],
  "spacegroup": "R-3m",
  "crystal_system": "trigonal",
  "delta_e_f_ev_per_atom": 0.13
}